No. 1
Material: Cr2ReHgC
Method: DFT, PBE
State: relaxed

Computed properties:
DFT formation energy ... 4.9 eV per formula unit
Symmetry ... No. 123
DFT total energy ... -0.26702 Ha/atom

a = 3.970 Å, b = 3.970 Å, c = 4.447 Å
α = 90.00°, β = 90.00°, γ = 90.00°
Fractional positions:
Cr 0.000 0.500 0.000
Cr 0.500 0.000 0.000
Re 0.000 0.000 0.500
Hg 0.500 0.500 0.500
C 0.500 0.500 0.000

No. 2
Material: GaIrO2F
Method: DFT, PBE
State: relaxed

Computed properties:
Symmetry ... No. 123
DFT total energy ... -0.16787 Ha/atom
Raw formation energy ... 0.17 eV/atom

a = 3.648 Å, b = 3.648 Å, c = 5.434 Å
α = 90.00°, β = 90.00°, γ = 90.00°
Fractional positions:
Ga 0.000 0.000 0.000
Ir 0.000 0.000 0.500
O 0.000 0.500 0.000
O 0.500 0.000 0.000
F 0.500 0.500 0.500